[1]
Here is an optimized crystal structure of MnPbI2 from the Alexandria database. Energies are from GGA-PBE.

Geometry as POSCAR:
```
MnPbI2
1.0
0.000 3.960 3.960
3.960 0.000 3.960
3.960 3.960 0.000
Mn Pb I
1 1 2
Direct
0.000 0.000 0.000 Mn
0.500 0.500 0.500 Pb
0.250 0.250 0.250 I
0.750 0.750 0.750 I
```

Values from the calculation:
**Relative energy among the computed polymorphs**: 236 meV/atom
**M_tot**: 4.86 μB/f.u.
**E_tot**: -3.704 eV per atom
**SG**: Fm-3m (225)
**Uncorrected formation energy**: 28.01 kJ per mole of atoms

***

[2]
Here is an optimized crystal structure of MnPb2I6 from the Alexandria database. Energies are from GGA-PBE.

Geometry as POSCAR:
```
MnPb2I6
1.0
8.574 -2.224 0.000
8.574 2.224 0.000
-3.119 0.000 10.505
Mn Pb I
1 2 6
Direct
0.000 0.000 0.000 Mn
0.333 0.333 0.673 Pb
0.667 0.667 0.327 Pb
0.022 0.022 0.271 I
0.309 0.309 0.362 I
0.380 0.380 0.979 I
0.620 0.620 0.021 I
0.691 0.691 0.638 I
0.978 0.978 0.729 I
```

Values from the calculation:
**Relative energy among the computed polymorphs**: 0 meV/atom
**M_tot**: 4.99 μB/f.u.
**E_tot**: -3.440 eV per atom
**SG**: C2/m (12)
**Uncorrected formation energy**: -54.40 kJ per mole of atoms

***

[3]
Here is an optimized crystal structure of MnPb5I12 from the Alexandria database. Energies are from GGA-PBE.

Geometry as POSCAR:
```
MnPb5I12
1.0
3.965 -6.887 0.000
3.965 6.887 0.000
-0.004 0.000 15.306
Mn Pb I
1 5 12
Direct
0.000 0.000 0.000 Mn
0.167 0.833 0.500 Pb
0.333 0.667 0.000 Pb
0.500 0.500 0.500 Pb
0.667 0.333 0.000 Pb
0.833 0.167 0.500 Pb
0.001 0.699 0.113 I
0.166 0.166 0.624 I
0.167 0.500 0.375 I
0.301 0.301 0.112 I
0.301 0.999 0.887 I
0.500 0.167 0.375 I
0.500 0.833 0.625 I
0.699 0.001 0.113 I
0.699 0.699 0.888 I
0.833 0.500 0.625 I
0.834 0.834 0.376 I
0.999 0.301 0.887 I
```

Values from the calculation:
**M_tot**: 4.99 μB/f.u.
**E_tot**: -3.182 eV per atom
**SG**: C2/m (12)
**Uncorrected formation energy**: -58.72 kJ per mole of atoms

***

[4]
Here is an optimized crystal structure of Mn2PbI6 from the Alexandria database. Energies are from GGA-PBE.

Geometry as POSCAR:
```
Mn2PbI6
1.0
8.152 -2.240 0.000
8.152 2.240 0.000
-4.755 0.000 11.680
Mn Pb I
2 1 6
Direct
0.206 0.206 0.220 Mn
0.794 0.794 0.780 Mn
0.000 0.000 0.500 Pb
0.145 0.145 0.386 I
0.342 0.342 0.913 I
0.389 0.389 0.308 I
0.611 0.611 0.692 I
0.658 0.658 0.087 I
0.855 0.855 0.614 I
```

Values from the calculation:
**Relative energy among the computed polymorphs**: 29 meV/atom
**M_tot**: 10.00 μB/f.u.
**E_tot**: -3.931 eV per atom
**SG**: C2/m (12)
**Uncorrected formation energy**: -43.26 kJ per mole of atoms

***

[5]
Here is an optimized crystal structure of MnPb2I from the Alexandria database. Energies are from GGA-PBE.

Geometry as POSCAR:
```
MnPb2I
1.0
0.000 3.903 3.903
3.903 0.000 3.903
3.903 3.903 0.000
Mn Pb I
1 2 1
Direct
0.000 0.000 0.000 Mn
0.250 0.250 0.250 Pb
0.750 0.750 0.750 Pb
0.500 0.500 0.500 I
```

Values from the calculation:
**Relative energy among the computed polymorphs**: 0 meV/atom
**M_tot**: 4.36 μB/f.u.
**E_tot**: -3.997 eV per atom
**SG**: Fm-3m (225)
**Uncorrected formation energy**: 51.78 kJ per mole of atoms

***

[6]
Here is an optimized crystal structure of Mn2PbI6 from the Alexandria database. Energies are from GGA-PBE.

Geometry as POSCAR:
```
Mn2PbI6
1.0
7.467 -6.853 0.000
7.467 6.853 0.000
-1.601 0.000 7.696
Mn Pb I
4 2 12
Direct
0.114 0.271 0.310 Mn
0.271 0.114 0.810 Mn
0.729 0.886 0.190 Mn
0.886 0.729 0.690 Mn
0.386 0.614 0.750 Pb
0.614 0.386 0.250 Pb
0.052 0.214 0.614 I
0.107 0.634 0.881 I
0.214 0.052 0.114 I
0.294 0.463 0.356 I
0.366 0.893 0.619 I
0.463 0.294 0.856 I
0.537 0.706 0.144 I
0.634 0.107 0.381 I
0.706 0.537 0.644 I
0.786 0.948 0.886 I
0.893 0.366 0.119 I
0.948 0.786 0.386 I
```

Values from the calculation:
**Relative energy among the computed polymorphs**: 0 meV/atom
**M_tot**: 10.00 μB/f.u.
**E_tot**: -3.961 eV per atom
**SG**: C2/c (15)
**Uncorrected formation energy**: -46.09 kJ per mole of atoms

***

[7]
Here is an optimized crystal structure of MnPb2I6 from the Alexandria database. Energies are from GGA-PBE.

Geometry as POSCAR:
```
MnPb2I6
1.0
7.437 0.000 0.000
0.000 7.437 0.000
0.000 0.000 13.933
Mn Pb I
2 4 12
Direct
0.000 0.000 0.000 Mn
0.500 0.500 0.500 Mn
0.000 0.000 0.335 Pb
0.000 0.000 0.665 Pb
0.500 0.500 0.165 Pb
0.500 0.500 0.835 Pb
0.188 0.188 0.151 I
0.188 0.188 0.849 I
0.217 0.217 0.500 I
0.283 0.717 0.000 I
0.312 0.688 0.349 I
0.312 0.688 0.651 I
0.688 0.312 0.349 I
0.688 0.312 0.651 I
0.717 0.283 0.000 I
0.783 0.783 0.500 I
0.812 0.812 0.151 I
0.812 0.812 0.849 I
```

Values from the calculation:
**Relative energy among the computed polymorphs**: 44 meV/atom
**M_tot**: 5.00 μB/f.u.
**E_tot**: -3.396 eV per atom
**SG**: P4_2/mnm (136)
**Uncorrected formation energy**: -50.16 kJ per mole of atoms

***

[8]
Here is an optimized crystal structure of MnPbI2 from the Alexandria database. Energies are from GGA-PBE.

Geometry as POSCAR:
```
MnPbI2
1.0
-4.873 4.873 2.897
4.873 -4.873 2.897
4.873 4.873 -2.897
Mn Pb I
2 2 4
Direct
0.000 0.000 0.000 Mn
0.750 0.250 0.500 Mn
0.250 0.750 0.500 Pb
0.500 0.500 0.000 Pb
0.375 0.237 0.362 I
0.763 0.125 0.138 I
0.875 0.013 0.638 I
0.987 0.625 0.862 I
```

Values from the calculation:
**Relative energy among the computed polymorphs**: 0 meV/atom
**M_tot**: 3.21 μB/f.u.
**E_tot**: -3.940 eV per atom
**SG**: I-42d (122)
**Uncorrected formation energy**: 5.24 kJ per mole of atoms

***

[9]
Here is an optimized crystal structure of MnPb2I from the Alexandria database. Energies are from GGA-PBE.

Geometry as POSCAR:
```
MnPb2I
1.0
-3.297 3.297 6.860
3.297 -3.297 6.860
3.297 3.297 -6.860
Mn Pb I
2 4 2
Direct
0.000 0.000 0.000 Mn
0.750 0.250 0.500 Mn
0.008 0.625 0.883 Pb
0.375 0.258 0.383 Pb
0.742 0.125 0.117 Pb
0.875 0.992 0.617 Pb
0.250 0.750 0.500 I
0.500 0.500 0.000 I
```

Values from the calculation:
**Relative energy among the computed polymorphs**: 203 meV/atom
**M_tot**: 0.01 μB/f.u.
**E_tot**: -3.795 eV per atom
**SG**: I-42d (122)
**Uncorrected formation energy**: 71.34 kJ per mole of atoms

***

[10]
Here is an optimized crystal structure of MnPb3I from the Alexandria database. Energies are from GGA-PBE.

Geometry as POSCAR:
```
MnPb3I
1.0
5.225 0.000 0.000
0.000 5.225 0.000
0.000 0.000 5.225
Mn Pb I
1 3 1
Direct
0.000 0.000 0.000 Mn
0.000 0.000 0.500 Pb
0.000 0.500 0.000 Pb
0.500 0.000 0.000 Pb
0.500 0.500 0.500 I
```

Values from the calculation:
**Relative energy among the computed polymorphs**: 0 meV/atom
**M_tot**: 0.00 μB/f.u.
**E_tot**: -4.283 eV per atom
**SG**: Pm-3m (221)
**Uncorrected formation energy**: 8.25 kJ per mole of atoms

***

[11]
Here is an optimized crystal structure of MnPtPb2I from the Alexandria database. Energies are from GGA-PBE.

Geometry as POSCAR:
```
MnPtPb2I
1.0
5.951 0.000 0.000
0.000 5.951 0.000
0.000 0.000 4.765
Mn Pt Pb I
1 1 2 1
Direct
0.000 0.000 0.000 Mn
0.500 0.500 0.000 Pt
0.000 0.500 0.500 Pb
0.500 0.000 0.500 Pb
0.000 0.000 0.500 I
```

Values from the calculation:
**M_tot**: 3.17 μB/f.u.
**E_tot**: -3.585 eV per atom
**SG**: P4/mmm (123)
**Uncorrected formation energy**: 120.61 kJ per mole of atoms

***

[12]
Here is an optimized crystal structure of RbMn2PbI8 from the Alexandria database. Energies are from GGA-PBE.

Geometry as POSCAR:
```
RbMn2PbI8
1.0
7.587 0.000 0.000
-3.793 6.570 0.000
0.000 0.000 10.793
Rb Mn Pb I
1 2 1 8
Direct
0.000 0.000 0.000 Rb
0.333 0.667 0.753 Mn
0.667 0.333 0.247 Mn
0.000 0.000 0.500 Pb
0.007 0.668 0.314 I
0.332 0.339 0.314 I
0.333 0.667 0.994 I
0.339 0.007 0.686 I
0.661 0.993 0.314 I
0.667 0.333 0.006 I
0.668 0.661 0.686 I
0.993 0.332 0.686 I
```

Values from the calculation:
**M_tot**: 9.00 μB/f.u.
**E_tot**: -3.544 eV per atom
**SG**: P-3 (147)
**Uncorrected formation energy**: -57.23 kJ per mole of atoms

***

Please write out number 7 again, unchanged.
Here is an optimized crystal structure of MnPb2I6 from the Alexandria database. Energies are from GGA-PBE.

Geometry as POSCAR:
```
MnPb2I6
1.0
7.437 0.000 0.000
0.000 7.437 0.000
0.000 0.000 13.933
Mn Pb I
2 4 12
Direct
0.000 0.000 0.000 Mn
0.500 0.500 0.500 Mn
0.000 0.000 0.335 Pb
0.000 0.000 0.665 Pb
0.500 0.500 0.165 Pb
0.500 0.500 0.835 Pb
0.188 0.188 0.151 I
0.188 0.188 0.849 I
0.217 0.217 0.500 I
0.283 0.717 0.000 I
0.312 0.688 0.349 I
0.312 0.688 0.651 I
0.688 0.312 0.349 I
0.688 0.312 0.651 I
0.717 0.283 0.000 I
0.783 0.783 0.500 I
0.812 0.812 0.151 I
0.812 0.812 0.849 I
```

Values from the calculation:
**Relative energy among the computed polymorphs**: 44 meV/atom
**M_tot**: 5.00 μB/f.u.
**E_tot**: -3.396 eV per atom
**SG**: P4_2/mnm (136)
**Uncorrected formation energy**: -50.16 kJ per mole of atoms